1.
4
Lattice="-0.346 2.882 4.240 0.101 -2.222 4.632 4.096 0.592 3.045" Properties=species:S:1:pos:R:3 comment="HgWBr2 (PBE, relaxed)" polymorph_energy_mev_per_atom=995 n_ef_per_ev_cell=3.04 e_form_raw_ev_per_atom=1.201 sg="No. 216" total_energy_ev_per_cell=-11.8 vol_a3_per_atom=24.0 total_magnetization_mub_per_atom=1.00 pbc="T T T"
W 0.963 0.313 2.979
Br 2.889 0.939 8.938
Hg 1.926 0.626 5.959
Br 0.000 0.000 0.000

=====

2.
6
Lattice="0.000 3.833 3.833 3.833 0.000 3.833 3.833 3.833 0.000" Properties=species:S:1:pos:R:3 comment="HgW4Br (PBE, relaxed)" n_ef_per_ev_cell=3.75 e_form_raw_ev_per_atom=1.201 sg="No. 216" total_energy_ev_per_cell=-46.6 vol_a3_per_atom=18.8 total_magnetization_mub_per_atom=0.00 pbc="T T T"
W 2.876 4.790 4.790
Br 5.750 5.750 5.750
W 4.790 2.876 4.790
W 4.790 4.790 2.876
W 2.876 2.876 2.876
Hg 0.000 0.000 0.000

=====

3.
4
Lattice="3.197 0.000 0.000 0.000 3.197 0.000 0.000 0.000 9.837" Properties=species:S:1:pos:R:3 comment="HgWBr2 (PBE, relaxed)" polymorph_energy_mev_per_atom=327 n_ef_per_ev_cell=3.19 e_form_raw_ev_per_atom=0.533 sg="No. 123" total_energy_ev_per_cell=-14.5 vol_a3_per_atom=25.1 total_magnetization_mub_per_atom=0.15 pbc="T T T"
W 1.598 1.598 7.378
Br 0.000 0.000 5.790
Br 0.000 0.000 8.965
Hg 1.598 1.598 2.459

=====

4.
5
Lattice="5.216 0.000 0.000 0.000 5.497 0.000 0.000 0.000 5.216" Properties=species:S:1:pos:R:3 comment="Zn2HgWBr (PBE, relaxed)" n_ef_per_ev_cell=2.60 e_form_raw_ev_per_atom=0.968 sg="No. 123" total_energy_ev_per_cell=-12.6 vol_a3_per_atom=29.9 total_magnetization_mub_per_atom=0.72 pbc="T T T"
Hg 0.000 2.749 0.000
Zn 0.000 0.000 2.608
Br 2.608 2.749 2.608
Zn 2.608 0.000 0.000
W 0.000 0.000 0.000